Compound: CuP2Pb
Source: Alexandria
Functional: PBE-GGA
Structure: optimized geometry

Cell lengths 4.1504, 4.1504, 5.9689 Å; angles 79.15, 79.15, 55.04 degrees
Fractional coordinates of all 4 atoms:
Pb1 0.5465 0.5465 0.5040
P1 0.8109 0.8109 0.8075
P2 0.9061 0.9061 0.1356
Cu1 0.2365 0.2365 0.0528

Results
* raw total energy: -4.56 eV/atom
* energy of formation from the pure elements: 97 meV per atom
* calculated density: 6.71 g cm⁻³
* total magnetization: 0.00 μB/cell

***

Compound: ZrCoC3
Source: Alexandria
Functional: PBE-GGA
Structure: optimized geometry

Cell lengths 4.2347, 4.2347, 4.2347 Å; angles 90.00, 90.00, 90.00 degrees
Fractional coordinates of all 5 atoms:
Zr1 0.0000 0.0000 0.0000
C1 0.5000 0.0000 0.0000
C2 0.0000 0.0000 0.5000
C3 0.0000 0.5000 0.0000
Co1 0.5000 0.5000 0.5000

Results
* raw total energy: -5.99 eV/atom
* energy of formation from the pure elements: 2673 meV per atom
* calculated density: 4.07 g cm⁻³
* ΔE to the lowest computed polymorph: 1.3466 eV/atom
* total magnetization: 0.00 μB/cell

***

Compound: Sb2OF
Source: Alexandria
Functional: PBE-GGA
Structure: optimized geometry

Cell lengths 4.4436, 4.4436, 8.1493 Å; angles 74.18, 74.18, 90.00 degrees
Fractional coordinates of all 8 atoms:
Sb1 0.8750 0.8292 0.7500
Sb2 0.3750 0.4208 0.7500
Sb3 0.1708 0.6250 0.2500
Sb4 0.5792 0.1250 0.2500
F1 0.7500 0.2500 0.5000
F2 0.0000 0.0000 0.0000
O1 0.5000 0.5000 0.0000
O2 0.2500 0.7500 0.5000

Results
* raw total energy: -4.61 eV/atom
* formation energy (no corrections): -0.845 eV/atom
* calculated density: 6.23 g cm⁻³
* ΔE to the lowest computed polymorph: 0.0000 eV/atom
* total magnetization: 0.00 μB/cell

***

Compound: ZrAsCl2
Source: Alexandria
Functional: PBE-GGA
Structure: optimized geometry

Cell lengths 3.3436, 3.3436, 12.4049 Å; angles 90.00, 90.00, 124.75 degrees
Fractional coordinates of all 4 atoms:
Cl1 0.0000 0.0000 0.4129
Cl2 0.0000 0.0000 0.0871
As1 0.5000 0.5000 0.7500
Zr1 0.5000 0.5000 0.2500

Results
* raw total energy: -4.76 eV/atom
* formation energy (no corrections): -0.540 eV/atom
* calculated density: 3.45 g cm⁻³
* ΔE to the lowest computed polymorph: 0.5262 eV/atom
* total magnetization: 0.00 μB/cell

***

Compound: CdCu2As
Source: Alexandria
Functional: PBE-GGA
Structure: optimized geometry

Cell lengths 8.3447, 8.3447, 8.3447 Å; angles 21.00, 21.00, 21.00 degrees
Fractional coordinates of all 4 atoms:
Cd1 0.2500 0.2500 0.2500
Cu1 0.4933 0.4933 0.4933
Cu2 0.0067 0.0067 0.0067
As1 0.7500 0.7500 0.7500

Results
* raw total energy: -3.28 eV/atom
* energy of formation from the pure elements: 154 meV per atom
* calculated density: 7.99 g cm⁻³
* ΔE to the lowest computed polymorph: 0.0418 eV/atom
* total magnetization: 0.00 μB/cell

***

Compound: TaNbI2N
Source: Alexandria
Functional: PBE-GGA
Structure: optimized geometry

Cell lengths 5.6885, 5.6885, 3.8906 Å; angles 90.00, 90.00, 90.00 degrees
Site moments in Bohr magnetons follow the coordinates.
Fractional coordinates of all 5 atoms:
Ta1 0.0000 0.0000 0.0000  -0.46
N1 0.0000 0.0000 0.5000  0.06
I1 0.5000 0.0000 0.0000  -0.03
I2 0.0000 0.5000 0.0000  -0.03
Nb1 0.5000 0.5000 0.5000  2.75

Results
* raw total energy: -5.94 eV/atom
* formation energy (no corrections): 0.725 eV/atom
* calculated density: 7.14 g cm⁻³
* ΔE to the lowest computed polymorph: 0.0000 eV/atom
* total magnetization: 2.97 μB/cell